This record from Alexandria describes a relaxed Sr4Ga3Au crystal. The functional is PBE-GGA.

Computed properties:
- N(E_F): 7.0 states/eV/cell
- E_form: -0.482 eV per atom
- DFT total energy: -22.94 eV/f.u.

Cell and atoms, written as POSCAR:
```
Sr4Ga3Au
1.0
4.544 0.000 0.000
0.000 4.742 0.000
0.000 0.000 11.626
Sr Ga Au
4 3 1
Direct
0.000 0.000 0.000
0.000 0.500 0.498
0.500 0.000 0.713
0.500 0.500 0.212
0.000 0.500 0.795
0.500 0.000 0.415
0.500 0.500 0.917
0.000 0.000 0.295
```


This record from Alexandria describes a relaxed TiCo2Tc crystal. The functional is PBE-GGA.

Computed properties:
- Energy relative to the lowest polymorph listed for this composition: 0.0430 eV per atom
- N(E_F): 3.9 states/eV/cell
- E_form: -0.120 eV per atom
- DFT total energy: -32.95 eV/f.u.

Cell and atoms, written as POSCAR:
```
TiCo2Tc
1.0
2.660 0.000 0.000
0.000 2.660 0.000
0.000 0.000 7.167
Ti Co Tc
1 2 1
Direct
0.000 0.000 0.000
0.500 0.500 0.254
0.500 0.500 0.746
0.000 0.000 0.500
```


This record from Alexandria describes a relaxed Tm6NiSn crystal. The functional is PBE-GGA.

Computed properties:
- N(E_F): 10.6 states/eV/cell
- E_form: -0.065 eV per atom
- DFT total energy: -37.13 eV/f.u.

Cell and atoms, written as POSCAR:
```
Tm6NiSn
1.0
6.682 0.000 0.000
-3.340 5.795 0.000
-3.334 -1.931 6.297
Tm Ni Sn
6 1 1
Direct
0.049 0.084 0.261
0.296 0.712 0.261
0.322 0.535 0.739
0.678 0.465 0.261
0.704 0.288 0.739
0.951 0.916 0.739
0.500 0.500 0.500
0.500 0.000 0.000
```


This record from Alexandria describes a relaxed BeAs2OsSe crystal. The functional is PBE-GGA.

Computed properties:
- Energy relative to the lowest polymorph listed for this composition: 0.0528 eV per atom
- N(E_F): 6.6 states/eV/cell
- DFT total energy: -22.45 eV/f.u.
- E_form (uncorrected): 1.058 eV/atom

Cell and atoms, written as POSCAR:
```
BeAs2OsSe
1.0
4.276 0.000 0.000
0.000 4.276 0.000
0.000 0.000 4.563
Be As Os Se
1 2 1 1
Direct
0.000 0.000 0.000
0.000 0.500 0.000
0.500 0.000 0.000
0.500 0.500 0.500
0.000 0.000 0.500
```


This record from Alexandria describes a relaxed Ho4Sc7In crystal. The functional is PBE-GGA.

Computed properties:
- N(E_F): 20.1 states/eV/cell
- E_form: 0.149 eV per atom
- DFT total energy: -63.58 eV/f.u.

Cell and atoms, written as POSCAR:
```
Ho4Sc7In
1.0
5.661 -2.677 0.000
5.661 2.677 0.000
-2.328 0.000 11.036
Ho Sc In
4 7 1
Direct
0.079 0.079 0.264
0.362 0.362 0.215
0.638 0.638 0.785
0.921 0.921 0.736
0.136 0.136 0.975
0.255 0.255 0.609
0.383 0.383 0.896
0.500 0.500 0.500
0.617 0.617 0.104
0.745 0.745 0.391
0.864 0.864 0.025
0.000 0.000 0.500
```


This record from Alexandria describes a relaxed Ce2LuPb crystal. The functional is PBE-GGA.

Computed properties:
- Energy relative to the lowest polymorph listed for this composition: 0.4025 eV per atom
- N(E_F): 10.2 states/eV/cell
- E_form: 0.151 eV per atom
- DFT total energy: -19.49 eV/f.u.

Cell and atoms, written as POSCAR:
```
Ce2LuPb
1.0
1.707 0.986 12.255
-1.707 0.986 12.255
0.000 -1.972 12.255
Ce Lu Pb
2 1 1
Direct
0.089 0.089 0.089
0.911 0.911 0.911
0.500 0.500 0.500
0.000 0.000 0.000
```


This record from Alexandria describes a relaxed MnTlW crystal. The functional is PBE-GGA.

Computed properties:
- Energy relative to the lowest polymorph listed for this composition: 0.1676 eV per atom
- N(E_F): 1.6 states/eV/cell
- E_form: 0.797 eV per atom
- DFT total energy: -22.10 eV/f.u.

Cell and atoms, written as POSCAR:
```
MnTlW
1.0
4.512 0.000 0.000
-2.256 3.908 0.000
0.000 0.000 2.890
Mn Tl W
1 1 1
Direct
0.000 0.000 0.000
0.667 0.333 0.294
0.333 0.667 0.757
```


This record from Alexandria describes a relaxed In2IrBr crystal. The functional is PBE-GGA.

Computed properties:
- Energy relative to the lowest polymorph listed for this composition: 0.0000 eV per atom
- N(E_F): 2.3 states/eV/cell
- DFT total energy: -16.45 eV/f.u.
- E_form (uncorrected): -0.111 eV/atom

Cell and atoms, written as POSCAR:
```
In2IrBr
1.0
3.213 0.000 0.000
0.000 3.457 0.000
0.000 0.000 8.003
In Ir Br
2 1 1
Direct
0.000 0.000 0.198
0.000 0.000 0.802
0.500 0.500 0.000
0.000 0.500 0.500
```


This record from Alexandria describes a relaxed Ac2Zn6CuAu crystal. The functional is PBE-GGA.

Computed properties:
- N(E_F): 4.8 states/eV/cell
- E_form: -0.264 eV per atom
- DFT total energy: -25.87 eV/f.u.

Cell and atoms, written as POSCAR:
```
Ac2Zn6CuAu
1.0
6.485 0.000 0.000
3.224 5.628 0.000
3.222 1.880 5.903
Ac Zn Cu Au
2 6 1 1
Direct
0.209 0.214 0.364
0.791 0.786 0.636
0.245 0.244 0.853
0.245 0.659 0.852
0.343 0.755 0.146
0.657 0.245 0.854
0.755 0.341 0.148
0.755 0.756 0.147
0.000 0.000 0.000
0.500 0.500 0.500
```


This record from Alexandria describes a relaxed CaDy3Hg2 crystal. The functional is PBE-GGA.

Computed properties:
- N(E_F): 12.2 states/eV/cell
- E_form: -0.356 eV per atom
- DFT total energy: -18.55 eV/f.u.

Cell and atoms, written as POSCAR:
```
CaDy3Hg2
1.0
5.141 0.000 0.000
0.000 9.280 0.000
0.000 0.000 7.141
Ca Dy Hg
2 6 4
Direct
0.000 0.057 0.000
0.000 0.943 0.500
0.000 0.327 0.646
0.000 0.673 0.146
0.500 0.174 0.319
0.500 0.442 0.968
0.500 0.558 0.468
0.500 0.826 0.819
0.000 0.352 0.223
0.000 0.648 0.723
0.500 0.152 0.741
0.500 0.848 0.241
```


This record from Alexandria describes a relaxed TeAsIrAu crystal. The functional is PBE-GGA.

Computed properties:
- Energy relative to the lowest polymorph listed for this composition: 0.1001 eV per atom
- N(E_F): 2.6 states/eV/cell
- DFT total energy: -19.83 eV/f.u.
- E_form (uncorrected): 0.025 eV/atom

Cell and atoms, written as POSCAR:
```
TeAsIrAu
1.0
3.690 -1.582 0.000
3.690 1.582 0.000
-1.160 0.000 7.703
Te As Ir Au
1 1 1 1
Direct
0.000 0.000 0.000
0.523 0.523 0.623
0.262 0.262 0.798
0.003 0.003 0.352
```


This record from Alexandria describes a relaxed PtAu2Cl crystal. The functional is PBE-GGA.

Computed properties:
- Energy relative to the lowest polymorph listed for this composition: 0.2684 eV per atom
- N(E_F): 2.4 states/eV/cell
- DFT total energy: -12.73 eV/f.u.
- E_form (uncorrected): 0.427 eV/atom

Cell and atoms, written as POSCAR:
```
PtAu2Cl
1.0
2.932 0.000 0.000
0.000 4.709 0.000
0.000 0.000 5.277
Pt Au Cl
1 2 1
Direct
0.000 0.000 0.000
0.000 0.500 0.500
0.500 0.000 0.500
0.500 0.500 0.000
```


This record from Alexandria describes a relaxed PrLuCoIr crystal. The functional is PBE-GGA.

Computed properties:
- N(E_F): 1.2 states/eV/cell
- E_form: -0.386 eV per atom
- DFT total energy: -26.81 eV/f.u.

Cell and atoms, written as POSCAR:
```
PrLuCoIr
1.0
0.000 3.436 3.436
3.436 0.000 3.436
3.436 3.436 0.000
Pr Lu Co Ir
1 1 1 1
Direct
0.000 0.000 0.000
0.500 0.500 0.500
0.750 0.750 0.750
0.250 0.250 0.250
```


This record from Alexandria describes a relaxed YHf2Tl crystal. The functional is PBE-GGA.

Computed properties:
- Energy relative to the lowest polymorph listed for this composition: 0.0000 eV per atom
- N(E_F): 1.2 states/eV/cell
- E_form: 0.298 eV per atom
- DFT total energy: -27.54 eV/f.u.

Cell and atoms, written as POSCAR:
```
YHf2Tl
1.0
0.000 3.613 3.613
3.613 0.000 3.613
3.613 3.613 0.000
Y Hf Tl
1 2 1
Direct
0.000 0.000 0.000
0.250 0.250 0.250
0.750 0.750 0.750
0.500 0.500 0.500
```


This record from Alexandria describes a relaxed LiLa2Zn7 crystal. The functional is PBE-GGA.

Computed properties:
- N(E_F): 8.3 states/eV/cell
- E_form: -0.282 eV per atom
- DFT total energy: -23.51 eV/f.u.

Cell and atoms, written as POSCAR:
```
LiLa2Zn7
1.0
4.467 0.000 0.000
0.000 4.467 0.000
0.000 0.000 10.021
Li La Zn
1 2 7
Direct
0.000 0.000 0.000
0.000 0.500 0.743
0.500 0.000 0.257
0.000 0.000 0.500
0.000 0.500 0.122
0.000 0.500 0.368
0.500 0.000 0.632
0.500 0.000 0.878
0.500 0.500 0.000
0.500 0.500 0.500
```


This record from Alexandria describes a relaxed NdHo2Mg crystal. The functional is PBE-GGA.

Computed properties:
- Energy relative to the lowest polymorph listed for this composition: 0.0000 eV per atom
- N(E_F): 8.6 states/eV/cell
- E_form: -0.029 eV per atom
- DFT total energy: -15.63 eV/f.u.

Cell and atoms, written as POSCAR:
```
NdHo2Mg
1.0
-2.562 2.562 9.217
2.562 -2.562 9.217
2.562 2.562 -9.217
Nd Ho Mg
2 4 2
Direct
0.130 0.130 0.000
0.870 0.870 0.000
0.000 0.500 0.500
0.366 0.366 0.000
0.500 0.000 0.500
0.634 0.634 0.000
0.250 0.750 0.500
0.750 0.250 0.500
```


This record from Alexandria describes a relaxed DyYAgOs crystal. The functional is PBE-GGA.

Computed properties:
- N(E_F): 2.2 states/eV/cell
- E_form: -0.264 eV per atom
- DFT total energy: -26.20 eV/f.u.

Cell and atoms, written as POSCAR:
```
DyYAgOs
1.0
0.000 3.504 3.504
3.504 0.000 3.504
3.504 3.504 0.000
Dy Y Ag Os
1 1 1 1
Direct
0.000 0.000 0.000
0.500 0.500 0.500
0.250 0.250 0.250
0.750 0.750 0.750
```


This record from Alexandria describes a relaxed Y5ErAl6 crystal. The functional is PBE-GGA.

Computed properties:
- N(E_F): 4.7 states/eV/cell
- E_form: -0.414 eV per atom
- DFT total energy: -64.31 eV/f.u.

Cell and atoms, written as POSCAR:
```
Y5ErAl6
1.0
2.543 -7.633 0.000
2.543 7.633 0.000
0.000 0.000 7.208
Y Er Al
5 1 6
Direct
0.000 0.000 0.000
0.333 0.667 0.000
0.334 0.666 0.500
0.666 0.334 0.500
0.667 0.333 0.000
0.000 0.000 0.500
0.166 0.834 0.251
0.166 0.834 0.749
0.500 0.500 0.251
0.500 0.500 0.749
0.834 0.166 0.251
0.834 0.166 0.749
```


This record from Alexandria describes a relaxed Pr2Nd3Tm crystal. The functional is PBE-GGA.

Computed properties:
- Energy relative to the lowest polymorph listed for this composition: 0.0000 eV per atom
- N(E_F): 17.6 states/eV/cell
- E_form: 0.058 eV per atom
- DFT total energy: -27.99 eV/f.u.

Cell and atoms, written as POSCAR:
```
Pr2Nd3Tm
1.0
4.585 -5.027 0.000
4.585 5.027 0.000
-1.855 0.000 8.995
Pr Nd Tm
4 6 2
Direct
0.120 0.629 0.877
0.371 0.880 0.623
0.629 0.120 0.377
0.880 0.371 0.123
0.169 0.336 0.501
0.336 0.169 0.001
0.414 0.586 0.250
0.586 0.414 0.750
0.664 0.831 0.999
0.831 0.664 0.499
0.082 0.918 0.250
0.918 0.082 0.750
```


This record from Alexandria describes a relaxed Nb2CdPt9 crystal. The functional is PBE-GGA.

Computed properties:
- N(E_F): 2.8 states/eV/cell
- E_form: -0.548 eV per atom
- DFT total energy: -82.00 eV/f.u.

Cell and atoms, written as POSCAR:
```
Nb2CdPt9
1.0
4.024 0.000 0.000
0.000 4.024 0.000
0.000 0.000 12.004
Nb Cd Pt
2 1 9
Direct
0.000 0.000 0.172
0.000 0.000 0.828
0.000 0.000 0.500
0.000 0.500 0.000
0.000 0.500 0.324
0.000 0.500 0.676
0.500 0.000 0.000
0.500 0.000 0.324
0.500 0.000 0.676
0.500 0.500 0.162
0.500 0.500 0.500
0.500 0.500 0.838
```


This record from Alexandria describes a relaxed CoPt2Br crystal. The functional is PBE-GGA.

Computed properties:
- Energy relative to the lowest polymorph listed for this composition: 0.1935 eV per atom
- N(E_F): 6.4 states/eV/cell
- DFT total energy: -18.91 eV/f.u.
- E_form (uncorrected): 0.486 eV/atom

Cell and atoms, written as POSCAR:
```
CoPt2Br
1.0
1.420 -2.457 0.000
1.420 2.457 0.000
0.000 0.000 9.746
Co Pt Br
1 2 1
Direct
0.000 0.000 0.000
0.000 0.000 0.461
0.500 0.500 0.215
0.500 0.500 0.790
```


This record from Alexandria describes a relaxed Rh2WN crystal. The functional is PBE-GGA.

Computed properties:
- N(E_F): 8.0 states/eV/cell
- DFT total energy: -33.31 eV/f.u.
- E_form (uncorrected): 0.667 eV/atom

Cell and atoms, written as POSCAR:
```
Rh2WN
1.0
-2.595 2.595 4.824
2.595 -2.595 4.824
2.595 2.595 -4.824
Rh W N
4 2 2
Direct
0.050 0.625 0.925
0.375 0.300 0.425
0.700 0.125 0.075
0.875 0.950 0.575
0.250 0.750 0.500
0.500 0.500 0.000
0.000 0.000 0.000
0.750 0.250 0.500
```


This record from Alexandria describes a relaxed La8GaIr2 crystal. The functional is PBE-GGA.

Computed properties:
- N(E_F): 14.4 states/eV/cell
- E_form: -0.348 eV per atom
- DFT total energy: -64.00 eV/f.u.

Cell and atoms, written as POSCAR:
```
La8GaIr2
1.0
4.328 -6.612 0.000
4.328 6.612 0.000
-1.569 0.000 6.105
La Ga Ir
8 1 2
Direct
0.000 0.000 0.000
0.048 0.310 0.612
0.171 0.629 0.225
0.310 0.048 0.612
0.460 0.733 0.844
0.629 0.171 0.225
0.733 0.460 0.844
0.739 0.739 0.410
0.371 0.371 0.065
0.071 0.690 0.702
0.690 0.071 0.702
```


This record from Alexandria describes a relaxed GdHoOsPt crystal. The functional is PBE-GGA.

Computed properties:
- N(E_F): 1.7 states/eV/cell
- E_form: -0.630 eV per atom
- DFT total energy: -38.45 eV/f.u.

Cell and atoms, written as POSCAR:
```
GdHoOsPt
1.0
0.000 3.452 3.452
3.452 0.000 3.452
3.452 3.452 0.000
Gd Ho Os Pt
1 1 1 1
Direct
0.000 0.000 0.000
0.500 0.500 0.500
0.750 0.750 0.750
0.250 0.250 0.250
```


This record from Alexandria describes a relaxed Tb6HoEr3Th2 crystal. The functional is PBE-GGA.

Computed properties:
- N(E_F): 16.8 states/eV/cell
- E_form: 0.027 eV per atom
- DFT total energy: -60.56 eV/f.u.

Cell and atoms, written as POSCAR:
```
Tb6HoEr3Th2
1.0
3.076 -5.321 0.000
3.076 5.321 0.000
-2.050 0.000 11.590
Tb Ho Er Th
6 1 3 2
Direct
0.080 0.417 0.751
0.247 0.247 0.249
0.417 0.080 0.751
0.583 0.920 0.249
0.753 0.753 0.751
0.920 0.583 0.249
0.500 0.500 0.000
0.000 0.000 0.500
0.334 0.666 0.500
0.666 0.334 0.500
0.167 0.833 0.000
0.833 0.167 0.000
```